Entry 1:
Here is LaBi2Pt after structural relaxation from the Alexandria database. Energies are from GGA-PBE.

Cell and atoms, written as CIF:
```
data_LaBi2Pt
_chemical_formula_sum 'La4 Bi8 Pt4'
_cell_length_a 7.5238
_cell_length_b 7.5238
_cell_length_c 7.5238
_cell_angle_alpha 90.00
_cell_angle_beta 90.00
_cell_angle_gamma 90.00
_symmetry_space_group_name_H-M 'F m -3 m'
_symmetry_Int_Tables_number 225
_symmetry_space_group_name_Hall '-F 4 2 3'
loop_
_atom_site_label
_atom_site_fract_x
_atom_site_fract_y
_atom_site_fract_z
_atom_site_occupancy
La1 0.0000 0.0000 0.0000 1
Bi1 0.2500 0.2500 0.2500 1
Pt1 0.0000 0.0000 0.5000 1
```

Output
E_form = -296 meV/atom

=====

Entry 2:
Here is LaBiPt after structural relaxation from the Alexandria database. Energies are from GGA-PBE.

Cell and atoms, written as CIF:
```
data_LaBiPt
_chemical_formula_sum 'La1 Bi1 Pt1'
_cell_length_a 4.6894
_cell_length_b 4.6894
_cell_length_c 4.3110
_cell_angle_alpha 90.00
_cell_angle_beta 90.00
_cell_angle_gamma 120.00
_symmetry_space_group_name_H-M 'P 3 m 1'
_symmetry_Int_Tables_number 156
_symmetry_space_group_name_Hall 'P 3 -2"'
loop_
_atom_site_label
_atom_site_fract_x
_atom_site_fract_y
_atom_site_fract_z
_atom_site_occupancy
La1 0.0000 0.0000 0.0000 1
Bi1 0.6667 0.3333 0.4873 1
Pt1 0.3333 0.6667 0.6025 1
```

Output
E_form = -928 meV/atom

=====

Entry 3:
Here is LaBi2Pt after structural relaxation from the Alexandria database. Energies are from GGA-PBE.

Cell and atoms, written as CIF:
```
data_LaBi2Pt
_chemical_formula_sum 'La3 Bi6 Pt3'
_cell_length_a 3.7558
_cell_length_b 3.7558
_cell_length_c 30.7233
_cell_angle_alpha 90.00
_cell_angle_beta 90.00
_cell_angle_gamma 120.00
_symmetry_space_group_name_H-M 'R -3 m'
_symmetry_Int_Tables_number 166
_symmetry_space_group_name_Hall '-R 3 2"'
loop_
_atom_site_label
_atom_site_fract_x
_atom_site_fract_y
_atom_site_fract_z
_atom_site_occupancy
La1 0.0000 0.0000 0.0000 1
Bi1 0.0000 0.0000 0.1085 1
Pt1 0.0000 0.0000 0.5000 1
```

Output
E_form = -95 meV/atom

=====

Entry 4:
Here is LaBi2Pt2 after structural relaxation from the Alexandria database. Energies are from GGA-PBE.

Cell and atoms, written as CIF:
```
data_LaBi2Pt2
_chemical_formula_sum 'La2 Bi4 Pt4'
_cell_length_a 4.9891
_cell_length_b 4.9891
_cell_length_c 10.5995
_cell_angle_alpha 90.00
_cell_angle_beta 90.00
_cell_angle_gamma 90.00
_symmetry_space_group_name_H-M 'I 4/m m m'
_symmetry_Int_Tables_number 139
_symmetry_space_group_name_Hall '-I 4 2'
loop_
_atom_site_label
_atom_site_fract_x
_atom_site_fract_y
_atom_site_fract_z
_atom_site_occupancy
La1 0.0000 0.0000 0.0000 1
Bi1 0.0000 0.0000 0.3581 1
Pt1 0.0000 0.5000 0.2500 1
```

Output
E_form = -485 meV/atom

=====

Entry 5:
Here is LaBiPt3 after structural relaxation from the Alexandria database. Energies are from GGA-PBE.

Cell and atoms, written as CIF:
```
data_LaBiPt3
_chemical_formula_sum 'La1 Bi1 Pt3'
_cell_length_a 5.2426
_cell_length_b 5.2426
_cell_length_c 5.2426
_cell_angle_alpha 90.00
_cell_angle_beta 90.00
_cell_angle_gamma 90.00
_symmetry_space_group_name_H-M 'P m -3 m'
_symmetry_Int_Tables_number 221
_symmetry_space_group_name_Hall '-P 4 2 3'
loop_
_atom_site_label
_atom_site_fract_x
_atom_site_fract_y
_atom_site_fract_z
_atom_site_occupancy
La1 0.0000 0.0000 0.0000 1
Bi1 0.5000 0.5000 0.5000 1
Pt1 0.0000 0.0000 0.5000 1
```

Output
energy above the lowest structure with this stoichiometry = 645.7 meV per atom
E_form = 639 meV/atom

=====

Entry 6:
Here is LaBiPt3 after structural relaxation from the Alexandria database. Energies are from GGA-PBE.

Cell and atoms, written as CIF:
```
data_LaBiPt3
_chemical_formula_sum 'La1 Bi1 Pt3'
_cell_length_a 5.1020
_cell_length_b 5.1020
_cell_length_c 5.1020
_cell_angle_alpha 90.00
_cell_angle_beta 90.00
_cell_angle_gamma 90.00
_symmetry_space_group_name_H-M 'P m -3 m'
_symmetry_Int_Tables_number 221
_symmetry_space_group_name_Hall '-P 4 2 3'
loop_
_atom_site_label
_atom_site_fract_x
_atom_site_fract_y
_atom_site_fract_z
_atom_site_occupancy
La1 0.0000 0.0000 0.0000 1
Bi1 0.5000 0.5000 0.5000 1
Pt1 0.0000 0.5000 0.5000 1
```

Output
energy above the lowest structure with this stoichiometry = 0.0 meV per atom
E_form = -6 meV/atom

=====

Entry 7:
Here is La2Bi2Pt after structural relaxation from the Alexandria database. Energies are from GGA-PBE.

Cell and atoms, written as CIF:
```
data_La2Bi2Pt
_chemical_formula_sum 'La4 Bi4 Pt2'
_cell_length_a 7.6555
_cell_length_b 7.6555
_cell_length_c 4.9911
_cell_angle_alpha 90.00
_cell_angle_beta 90.00
_cell_angle_gamma 90.00
_symmetry_space_group_name_H-M 'P 4/m b m'
_symmetry_Int_Tables_number 127
_symmetry_space_group_name_Hall '-P 4 2ab'
loop_
_atom_site_label
_atom_site_fract_x
_atom_site_fract_y
_atom_site_fract_z
_atom_site_occupancy
La1 0.1681 0.3319 0.0000 1
Bi1 0.1469 0.6469 0.5000 1
Pt1 0.0000 0.0000 0.5000 1
```

Output
E_form = -661 meV/atom

=====

Entry 8:
Here is LaBi2Pt2 after structural relaxation from the Alexandria database. Energies are from GGA-PBE.

Cell and atoms, written as CIF:
```
data_LaBi2Pt2
_chemical_formula_sum 'La2 Bi4 Pt4'
_cell_length_a 7.5904
_cell_length_b 7.5904
_cell_length_c 4.3228
_cell_angle_alpha 90.00
_cell_angle_beta 90.00
_cell_angle_gamma 90.00
_symmetry_space_group_name_H-M 'P 4/m b m'
_symmetry_Int_Tables_number 127
_symmetry_space_group_name_Hall '-P 4 2ab'
loop_
_atom_site_label
_atom_site_fract_x
_atom_site_fract_y
_atom_site_fract_z
_atom_site_occupancy
La1 0.0000 0.0000 0.0000 1
Bi1 0.1824 0.3176 0.5000 1
Pt1 0.1266 0.6266 0.0000 1
```

Output
E_form = -553 meV/atom